Entry 1:
Cs2U2IrS6 | the Alexandria database | PBE-GGA | optimized geometry; ΔE_f (raw) = -1.077 eV/atom; calculated density = 5.98 g/cm3; total DFT energy (no corrections) = -6.34 eV per atom
1.0
3.3207 -5.6036 0.0000
3.3207 5.6036 0.0000
-2.3530 0.0000 8.4033
Cs U Ir S
2 2 1 6
Direct
0.1708 0.8292 0.0000
0.8292 0.1708 0.0000
0.3279 0.6721 0.5000
0.6721 0.3279 0.5000
0.0000 0.0000 0.5000
0.0699 0.3736 0.6794
0.2426 0.2426 0.3297
0.3736 0.0699 0.6794
0.6264 0.9301 0.3206
0.7574 0.7574 0.6703
0.9301 0.6264 0.3206

=====

Entry 2:
Sc2CdAg2 | the Alexandria database | PBE-GGA | optimized geometry; calculated density = 6.14 g/cm3; total DFT energy (no corrections) = -3.81 eV per atom; DFT formation energy = 0.96 kcal/mol of atoms
1.0
3.7871 0.0000 0.0000
0.0000 3.7871 0.0000
0.0000 0.0000 15.7588
Sc Cd Ag
4 2 4
Direct
0.0000 0.0000 0.1034
0.0000 0.0000 0.8966
0.5000 0.5000 0.3966
0.5000 0.5000 0.6034
0.0000 0.0000 0.5000
0.5000 0.5000 0.0000
0.0000 0.5000 0.2500
0.0000 0.5000 0.7500
0.5000 0.0000 0.2500
0.5000 0.0000 0.7500

=====

Entry 3:
Sm2Dy2Sc | the Alexandria database | PBE-GGA | optimized geometry; calculated density = 7.13 g/cm3; total DFT energy (no corrections) = -4.88 eV per atom; DFT formation energy = 2.65 kcal/mol of atoms
1.0
5.5858 0.0000 0.0000
-2.7929 4.8375 0.0000
0.0000 0.0000 17.3375
Sm Dy Sc
6 6 3
Direct
0.0000 0.0000 0.1071
0.0000 0.0000 0.8929
0.3333 0.6667 0.5595
0.3333 0.6667 0.7738
0.6667 0.3333 0.2262
0.6667 0.3333 0.4405
0.0000 0.0000 0.3108
0.0000 0.0000 0.6892
0.3333 0.6667 0.3558
0.3333 0.6667 0.9775
0.6667 0.3333 0.0225
0.6667 0.3333 0.6442
0.0000 0.0000 0.5000
0.3333 0.6667 0.1667
0.6667 0.3333 0.8333

=====

Entry 4:
SrAuCl2 | the Alexandria database | PBE-GGA | optimized geometry; ΔE_f (raw) = -1.209 eV/atom; calculated density = 5.36 g/cm3; total DFT energy (no corrections) = -3.37 eV per atom
1.0
4.1135 0.0000 0.0000
0.0000 4.1624 0.0000
0.0000 0.0000 12.8706
Sr Au Cl
2 2 4
Direct
0.0000 0.0000 0.0000
0.5000 0.5000 0.5000
0.0000 0.5000 0.8195
0.5000 0.0000 0.3195
0.0000 0.0000 0.5733
0.0000 0.5000 0.3298
0.5000 0.0000 0.8298
0.5000 0.5000 0.0733

=====

Entry 5:
AlSb2OsF | the Alexandria database | PBE-GGA | optimized geometry; ΔE_f (raw) = 0.874 eV/atom; calculated density = 6.48 g/cm3; total DFT energy (no corrections) = -4.14 eV per atom
1.0
5.1819 0.0000 0.0000
0.0000 5.1819 0.0000
0.0000 0.0000 4.5812
Al Sb Os F
1 2 1 1
Direct
0.0000 0.0000 0.0000
0.0000 0.5000 0.0000
0.5000 0.0000 0.0000
0.0000 0.0000 0.5000
0.5000 0.5000 0.5000

=====

Entry 6:
Na2BIr | the Alexandria database | PBE-GGA | optimized geometry; calculated density = 3.84 g/cm3; total DFT energy (no corrections) = -4.13 eV per atom; DFT formation energy = 9.63 kcal/mol of atoms
1.0
10.4087 0.0000 0.0000
0.0000 10.4087 0.0000
0.0000 0.0000 3.9731
Na B Ir
8 4 4
Direct
0.0211 0.7500 0.1250
0.2500 0.0211 0.8750
0.2500 0.4789 0.3750
0.4789 0.7500 0.6250
0.5211 0.2500 0.6250
0.7500 0.5211 0.3750
0.7500 0.9789 0.8750
0.9789 0.2500 0.1250
0.0000 0.0000 0.0000
0.0000 0.5000 0.2500
0.5000 0.0000 0.7500
0.5000 0.5000 0.5000
0.0000 0.0000 0.5000
0.0000 0.5000 0.7500
0.5000 0.0000 0.2500
0.5000 0.5000 0.0000

=====

Entry 7:
Ce3SbP2Rh9 | the Alexandria database | PBE-GGA | optimized geometry; ΔE_f (raw) = -0.669 eV/atom; calculated density = 8.76 g/cm3; total DFT energy (no corrections) = -7.26 eV per atom
1.0
5.7832 0.0000 0.0000
-2.8916 5.0084 0.0000
0.0000 0.0000 10.0134
Ce Sb P Rh
3 1 2 9
Direct
0.0000 0.0000 0.0000
0.3333 0.6667 0.6690
0.6667 0.3333 0.3310
0.0000 0.0000 0.5000
0.3333 0.6667 0.1541
0.6667 0.3333 0.8459
0.0000 0.5000 0.0000
0.1597 0.3193 0.2917
0.1597 0.8403 0.2917
0.3193 0.1597 0.7083
0.5000 0.0000 0.0000
0.5000 0.5000 0.0000
0.6807 0.8403 0.2917
0.8403 0.1597 0.7083
0.8403 0.6807 0.7083

=====

Entry 8:
Ac2Ga6AgPd | the Alexandria database | PBE-GGA | optimized geometry; calculated density = 7.90 g/cm3; total DFT energy (no corrections) = -3.91 eV per atom; DFT formation energy = -10.76 kcal/mol of atoms
1.0
6.4290 -2.7347 0.0000
6.4290 2.7347 0.0000
-6.2039 0.0000 6.4990
Ac Ga Ag Pd
2 6 1 1
Direct
0.0329 0.0329 0.2814
0.9671 0.9671 0.7186
0.0064 0.5041 0.7558
0.3357 0.3357 0.0836
0.4959 0.9936 0.2442
0.5041 0.0064 0.7558
0.6643 0.6643 0.9164
0.9936 0.4959 0.2442
0.5000 0.5000 0.5000
0.5000 0.5000 0.0000

=====

> Number 2 is which compound?

Sc2CdAg2